1.
Material: PaGeSe4
Method: DFT, PBE-GGA
State: optimized geometry

Cell and atoms, written as CIF:
```
data_PaGeSe4
_space_group_name_H-M_alt 'P 1'
_space_group_IT_number 1
_space_group_name_Hall 'P 1'
_cell_length_a 7.8440
_cell_length_b 7.8440
_cell_length_c 6.8668
_cell_angle_alpha 115.13
_cell_angle_beta 115.13
_cell_angle_gamma 29.53
loop_
_atom_site_label
_atom_site_fract_x
_atom_site_fract_y
_atom_site_fract_z
Pa1 0.0000 0.0000 0.0000
Ge1 0.5000 0.5000 0.5000
Se1 0.1105 0.1105 0.4468
Se2 0.3849 0.3849 0.0579
Se3 0.6151 0.6151 0.9421
Se4 0.8895 0.8895 0.5532
```

Computed properties:
* SG: C2/m, No. 12
* total magnetic moment: 0.0 μB per formula unit
* formation energy (no corrections): -0.77 eV/atom
* density of states at the Fermi level: 2.811 states/eV/f.u.
* density: 5.5 g cm⁻³

2.
Material: Pa3GeSe8
Method: DFT, PBE-GGA
State: optimized geometry

Cell and atoms, written as CIF:
```
data_Pa3GeSe8
_space_group_name_H-M_alt 'P 1'
_space_group_IT_number 1
_space_group_name_Hall 'P 1'
_cell_length_a 8.3920
_cell_length_b 8.3920
_cell_length_c 13.0843
_cell_angle_alpha 90.00
_cell_angle_beta 90.00
_cell_angle_gamma 120.00
loop_
_atom_site_label
_atom_site_fract_x
_atom_site_fract_y
_atom_site_fract_z
Pa1 0.1655 0.3310 0.0000
Pa2 0.1655 0.8345 0.0000
Pa3 0.3310 0.1655 0.5000
Pa4 0.6690 0.8345 0.0000
Pa5 0.8345 0.1655 0.5000
Pa6 0.8345 0.6690 0.5000
Ge1 0.3333 0.6667 0.2295
Ge2 0.6667 0.3333 0.7295
Se1 0.0000 0.0000 0.1174
Se2 0.0000 0.0000 0.6174
Se3 0.0286 0.5143 0.1247
Se4 0.1620 0.3239 0.3951
Se5 0.1620 0.8380 0.3951
Se6 0.3239 0.1620 0.8951
Se7 0.3333 0.6667 0.8861
Se8 0.4857 0.5143 0.1247
Se9 0.4857 0.9714 0.1247
Se10 0.5143 0.0286 0.6247
Se11 0.5143 0.4857 0.6247
Se12 0.6667 0.3333 0.3861
Se13 0.6761 0.8380 0.3951
Se14 0.8380 0.1620 0.8951
Se15 0.8380 0.6761 0.8951
Se16 0.9714 0.4857 0.6247
```

Computed properties:
* SG: P6_3mc, No. 186
* total magnetic moment: 1.2 μB per formula unit
* formation energy (no corrections): -1.13 eV/atom
* density of states at the Fermi level: 8.098 states/eV/f.u.
* density: 5.8 g cm⁻³

- Among the records above, which one has the highest formation energy (no corrections)?
  PaGeSe4

Please write out number 2 again, unchanged.
Material: Pa3GeSe8
Method: DFT, PBE-GGA
State: optimized geometry

Cell and atoms, written as CIF:
```
data_Pa3GeSe8
_space_group_name_H-M_alt 'P 1'
_space_group_IT_number 1
_space_group_name_Hall 'P 1'
_cell_length_a 8.3920
_cell_length_b 8.3920
_cell_length_c 13.0843
_cell_angle_alpha 90.00
_cell_angle_beta 90.00
_cell_angle_gamma 120.00
loop_
_atom_site_label
_atom_site_fract_x
_atom_site_fract_y
_atom_site_fract_z
Pa1 0.1655 0.3310 0.0000
Pa2 0.1655 0.8345 0.0000
Pa3 0.3310 0.1655 0.5000
Pa4 0.6690 0.8345 0.0000
Pa5 0.8345 0.1655 0.5000
Pa6 0.8345 0.6690 0.5000
Ge1 0.3333 0.6667 0.2295
Ge2 0.6667 0.3333 0.7295
Se1 0.0000 0.0000 0.1174
Se2 0.0000 0.0000 0.6174
Se3 0.0286 0.5143 0.1247
Se4 0.1620 0.3239 0.3951
Se5 0.1620 0.8380 0.3951
Se6 0.3239 0.1620 0.8951
Se7 0.3333 0.6667 0.8861
Se8 0.4857 0.5143 0.1247
Se9 0.4857 0.9714 0.1247
Se10 0.5143 0.0286 0.6247
Se11 0.5143 0.4857 0.6247
Se12 0.6667 0.3333 0.3861
Se13 0.6761 0.8380 0.3951
Se14 0.8380 0.1620 0.8951
Se15 0.8380 0.6761 0.8951
Se16 0.9714 0.4857 0.6247
```

Computed properties:
* SG: P6_3mc, No. 186
* total magnetic moment: 1.2 μB per formula unit
* formation energy (no corrections): -1.13 eV/atom
* density of states at the Fermi level: 8.098 states/eV/f.u.
* density: 5.8 g cm⁻³